Material: NiWF2
Method: DFT, GGA+U
State: optimized geometry

As for the symmetry: R-3m, No. 166. The value obtained for the density of states at the Fermi level is 0.4918 states/eV/atom. For the total energy, the calculation gives -13.9 eV per cell. Its energy above the most stable polymorph in this dataset is 32.8 meV per atom.

Lattice parameters (Å, degrees): 7.957 7.957 7.957 19.77 19.77 19.77
Atoms (fractional coordinates):
Ni  0.000  0.000  0.000
W  0.500  0.500  0.500
F  0.921  0.921  0.921
F  0.079  0.079  0.079